Entry 1:
# SrGe2H2, relaxed, DFT PBE-GGA
data_SrGe2H2
_cell_length_a 3.9276
_cell_length_b 3.9276
_cell_length_c 6.1166
_cell_angle_alpha 71.27
_cell_angle_beta 71.27
_cell_angle_gamma 90.00
_symmetry_space_group_name_H-M 'P 1'
_symmetry_Int_Tables_number 1
_symmetry_space_group_name_Hall 'P 1'
loop_
_atom_site_label
_atom_site_type_symbol
_atom_site_fract_x
_atom_site_fract_y
_atom_site_fract_z
Ge1 Ge 0.2500 0.7500 0.5000
Ge2 Ge 0.7500 0.2500 0.5000
Sr1 Sr 0.0000 0.0000 0.0000
H1 H 0.4634 0.4634 0.0732
H2 H 0.5366 0.5366 0.9268
# Raw total energy, eV/cell: -18.174
# Energy relative to the lowest polymorph listed for this composition, eV/f.u.: 0.00
# N(E_F), states/eV per cell: 2.7

Entry 2:
# VCoNiOs, relaxed, DFT PBE-GGA
data_VCoNiOs
_cell_length_a 4.1164
_cell_length_b 4.1164
_cell_length_c 4.1164
_cell_angle_alpha 60.00
_cell_angle_beta 60.00
_cell_angle_gamma 60.00
_symmetry_space_group_name_H-M 'P 1'
_symmetry_Int_Tables_number 1
_symmetry_space_group_name_Hall 'P 1'
loop_
_atom_site_label
_atom_site_type_symbol
_atom_site_fract_x
_atom_site_fract_y
_atom_site_fract_z
Co1 Co 0.5000 0.5000 0.5000
Ni1 Ni 0.7500 0.7500 0.7500
Os1 Os 0.0000 0.0000 0.0000
V1 V 0.2500 0.2500 0.2500
# Raw total energy, eV/cell: -33.167
# Energy of formation, eV per atom: 0.017
# N(E_F), states/eV per cell: 5.7